Crystalline PrDy2Sb at its relaxed geometry. Source: the Alexandria database, functional PBE.

abc: 4.8749 4.8749 4.7967
angles: 90.00 90.00 90.00
Closest atoms and distances in Å follow each position.
Space group P4/mmm (No. 123)
One atom of each set of equivalent atoms:
1 Pr 0.0000 0.0000 0.0000 x1  8 Dy 3.42, 4 Sb 3.45
2 Dy 0.0000 0.5000 0.5000 x2  4 Pr 3.42, 4 Sb 3.42, 4 Dy 3.45
3 Sb 0.5000 0.5000 0.0000 x1  8 Dy 3.42, 4 Pr 3.45

relative energy among the computed polymorphs: 0.066 eV/atom
ρ: 8.56 g/cm3
raw formation energy: -499 meV per atom
total magnetic moment: 0.0 Bohr magnetons per cell



Crystalline GaGe3C at its relaxed geometry. Source: the Alexandria database, functional PBE.

abc: 4.3824 4.3824 4.3824
angles: 90.00 90.00 90.00
Closest atoms and distances in Å follow each position.
Space group Pm-3m (No. 221)
One atom of each set of equivalent atoms:
1 Ga 0.0000 0.0000 0.0000 x1  12 Ge 3.10
2 Ge 0.0000 0.5000 0.5000 x3  2 C 2.19
3 C 0.5000 0.5000 0.5000 x1  6 Ge 2.19

relative energy among the computed polymorphs: 0.000 eV/atom
ρ: 5.91 g/cm3
formation energy: 88.3 kJ/mol of atoms
total magnetic moment: 0.0 Bohr magnetons per cell



Crystalline RbPmPr2 at its relaxed geometry. Source: the Alexandria database, functional PBE.

abc: 3.7447 3.7447 41.0729
angles: 90.00 90.00 120.00
Closest atoms and distances in Å follow each position.
Space group R-3m (No. 166, hexagonal axes)
One atom of each set of equivalent atoms:
1 Rb 0.0000 0.0000 0.0000 x3  6 Rb 3.74, 2 Pr 3.92
2 Pm 0.0000 0.0000 0.5000 x3  6 Pr 3.64, 6 Pm 3.74
3 Pr 0.0000 0.0000 0.0955 x6  3 Pm 3.64, 6 Pr 3.74, 1 Rb 3.92

ρ: 5.12 g/cm3
formation energy: 22.3 kJ/mol of atoms
total magnetic moment: 0.0 Bohr magnetons per cell



Crystalline GaCu2Pd at its relaxed geometry. Source: the Alexandria database, functional PBE.

abc: 2.8417 8.0594 4.9721
angles: 90.00 106.02 90.00
Closest atoms and distances in Å follow each position.
Space group P2_1/m (No. 11)
One atom of each set of equivalent atoms:
1 Ga 0.2453 0.2500 0.4865 x2  6 Cu 2.50-2.56, 3 Pd 2.59-2.62
2 Cu 0.3674 0.5223 0.7389 x4  3 Ga 2.50-2.56, 3 Cu 2.52-2.72, 4 Pd 2.75-2.80
3 Pd 0.0305 0.7500 0.0549 x2  3 Ga 2.59-2.62, 8 Cu 2.75-2.80, 2 Pd 2.84

ρ: 9.20 g/cm3
formation energy: -22.9 kJ/mol of atoms
total magnetic moment: 0.0 Bohr magnetons per cell



Crystalline CrNiH2 at its relaxed geometry. Source: the Alexandria database, functional PBE.

abc: 2.6006 2.6006 14.0101
angles: 90.00 90.00 120.00
Closest atoms and distances in Å follow each position.
Space group R3m (No. 160, hexagonal axes)
One atom of each set of equivalent atoms:
1 Cr 0.0000 0.0000 0.0000 x3  6 H 1.87-1.89
2 Ni 0.0000 0.0000 0.1777 x3  6 H 1.84-2.01
3 H 0.0000 0.0000 0.5868 x3  3 Ni 1.84, 3 Cr 1.87
4 H 0.0000 0.0000 0.7488 x3  3 Cr 1.89, 3 Ni 2.01

relative energy among the computed polymorphs: 0.127 eV/atom
ρ: 6.84 g/cm3
total magnetic moment: 0.0 Bohr magnetons per cell



Crystalline BaCuPPb at its relaxed geometry. Source: the Alexandria database, functional PBE.

abc: 4.2963 4.2963 11.8705
angles: 90.00 90.00 90.00
Closest atoms and distances in Å follow each position.
Space group P4/nmm (No. 129, origin choice 2)
One atom of each set of equivalent atoms:
1 Ba 0.2500 0.2500 0.2153 x2  5 P 3.34-3.73, 4 Cu 3.34
2 Cu 0.2500 0.7500 0.0000 x2  4 P 2.45
3 P 0.2500 0.2500 0.9011 x2  4 Cu 2.45
4 Pb 0.2500 0.7500 0.5000 x2  4 Pb 3.04

ρ: 6.65 g/cm3
formation energy: -41.3 kJ/mol of atoms
total magnetic moment: 0.0 Bohr magnetons per cell



Crystalline ScTaI2 at its relaxed geometry. Source: the Alexandria database, functional PBE.

abc: 7.0654 7.0654 7.0654
angles: 90.00 90.00 90.00
Closest atoms and distances in Å follow each position.
Space group Fm-3m (No. 225)
One atom of each set of equivalent atoms:
1 Sc 0.0000 0.0000 0.0000 x4  8 I 3.06
2 Ta 0.0000 0.0000 0.5000 x4  8 I 3.06
3 I 0.2500 0.2500 0.2500 x8  4 Sc 3.06, 4 Ta 3.06

relative energy among the computed polymorphs: 0.000 eV/atom
ρ: 9.03 g/cm3
raw formation energy: 388 meV per atom
total magnetic moment: 4.5 Bohr magnetons per cell



Crystalline Cu8PdPt6 at its relaxed geometry. Source: the Alexandria database, functional PBE.

abc: 6.7384 6.7384 16.2148
angles: 90.00 90.00 120.00
Closest atoms and distances in Å follow each position.
Space group R-3 (No. 148, hexagonal axes)
One atom of each set of equivalent atoms:
1 Cu 0.0000 0.0000 0.0782 x6  4 Cu 2.49-2.54, 6 Pt 2.72-2.79
2 Cu 0.0582 0.7925 0.6317 x18  3 Cu 2.49-2.65, 3 Pt 2.54-2.67, 1 Pd 2.69
3 Pd 0.0000 0.0000 0.5000 x3  6 Pt 2.67, 6 Cu 2.69
4 Pt 0.0169 0.2449 0.2139 x18  5 Cu 2.54-2.79, 3 Pt 2.64-2.77, 1 Pd 2.67

relative energy among the computed polymorphs: 0.000 eV/atom
ρ: 13.95 g/cm3
formation energy: -2.0 kJ/mol of atoms
total magnetic moment: 0.0 Bohr magnetons per cell



Crystalline Sm3Al2Ni6 at its relaxed geometry. Source: the Alexandria database, functional PBE.

abc: 9.0298 9.0298 9.0298
angles: 90.00 90.00 90.00
Closest atoms and distances in Å follow each position.
Space group Im-3m (No. 229)
One atom of each set of equivalent atoms:
1 Sm 0.0000 0.0000 0.2923 x12  8 Ni 2.83-3.04
2 Al 0.2500 0.2500 0.2500 x8  6 Ni 2.50
3 Ni 0.0000 0.3336 0.3336 x24  2 Al 2.50, 4 Ni 2.61

ρ: 7.73 g/cm3
formation energy: -47.7 kJ/mol of atoms
total magnetic moment: 0.0 Bohr magnetons per cell



Crystalline NiHg2Br at its relaxed geometry. Source: the Alexandria database, functional PBE.

abc: 4.1783 3.3712 6.9708
angles: 90.00 107.26 90.00
Closest atoms and distances in Å follow each position.
Space group Pm (No. 6)
One atom of each set of equivalent atoms:
1 Ni 0.0000 0.0000 0.0000 x1  2 Br 2.52, 5 Hg 2.63-2.75
2 Hg 0.1981 0.0000 0.3948 x1  1 Ni 2.63
3 Hg 0.5451 0.5000 0.0898 x1  4 Ni 2.75
4 Br 0.8625 0.5000 0.7196 x1  2 Ni 2.52

relative energy among the computed polymorphs: 0.019 eV/atom
ρ: 9.56 g/cm3
raw formation energy: 66 meV per atom
total magnetic moment: 0.0 Bohr magnetons per cell



Crystalline Cr2PbW at its relaxed geometry. Source: the Alexandria database, functional PBE.

abc: 4.1169 4.3684 7.5315
angles: 90.00 90.00 90.00
Closest atoms and distances in Å follow each position.
Space group Cmm2 (No. 35)
One atom of each set of equivalent atoms:
1 Cr 0.0000 0.0000 0.0000 x2  4 Cr 2.44-2.55
2 Cr 0.0000 0.5000 0.1737 x2  4 Cr 2.44-2.55, 4 W 2.57-2.67
3 Pb 0.0000 0.5000 0.6924 x2  4 Pb 3.00, 4 Cr 3.10-3.18, 4 W 3.14-3.22
4 W 0.0000 0.0000 0.3779 x2  5 Cr 2.57-2.85

ρ: 12.14 g/cm3
formation energy: 62.5 kJ/mol of atoms
total magnetic moment: 3.3 Bohr magnetons per cell



Crystalline Ba4TbRu3O12 at its relaxed geometry. Source: the Alexandria database, functional PBE.

abc: 5.9526 5.9526 29.5657
angles: 90.00 90.00 120.00
Closest atoms and distances in Å follow each position.
Space group R-3m (No. 166, hexagonal axes)
One atom of each set of equivalent atoms:
1 Ba 0.0000 0.0000 0.1295 x6  12 O 2.98-3.11
2 Ba 0.0000 0.0000 0.2849 x6  12 O 2.90-3.17
3 Tb 0.0000 0.0000 0.0000 x3  6 O 2.23
4 Ru 0.0000 0.0000 0.4137 x6  6 O 1.95-2.07
5 Ru 0.0000 0.0000 0.5000 x3  6 O 2.03
6 O 0.0186 0.5093 0.2895 x18  1 Ru 1.95
7 O 0.0228 0.5114 0.1244 x18  2 Ru 2.03-2.07

ρ: 6.61 g/cm3
raw formation energy: -2092 meV per atom
total magnetic moment: 14.7 Bohr magnetons per cell



Repeat the fifth record exactly.
Crystalline CrNiH2 at its relaxed geometry. Source: the Alexandria database, functional PBE.

abc: 2.6006 2.6006 14.0101
angles: 90.00 90.00 120.00
Closest atoms and distances in Å follow each position.
Space group R3m (No. 160, hexagonal axes)
One atom of each set of equivalent atoms:
1 Cr 0.0000 0.0000 0.0000 x3  6 H 1.87-1.89
2 Ni 0.0000 0.0000 0.1777 x3  6 H 1.84-2.01
3 H 0.0000 0.0000 0.5868 x3  3 Ni 1.84, 3 Cr 1.87
4 H 0.0000 0.0000 0.7488 x3  3 Cr 1.89, 3 Ni 2.01

relative energy among the computed polymorphs: 0.127 eV/atom
ρ: 6.84 g/cm3
total magnetic moment: 0.0 Bohr magnetons per cell



Repeat the seventh record exactly.
Crystalline ScTaI2 at its relaxed geometry. Source: the Alexandria database, functional PBE.

abc: 7.0654 7.0654 7.0654
angles: 90.00 90.00 90.00
Closest atoms and distances in Å follow each position.
Space group Fm-3m (No. 225)
One atom of each set of equivalent atoms:
1 Sc 0.0000 0.0000 0.0000 x4  8 I 3.06
2 Ta 0.0000 0.0000 0.5000 x4  8 I 3.06
3 I 0.2500 0.2500 0.2500 x8  4 Sc 3.06, 4 Ta 3.06

relative energy among the computed polymorphs: 0.000 eV/atom
ρ: 9.03 g/cm3
raw formation energy: 388 meV per atom
total magnetic moment: 4.5 Bohr magnetons per cell